1.
# LiPO2F PBE relaxed
data_LiPO2F
_chemical_formula_sum 'Li1 P1 O2 F1'
_space_group_name_H-M_alt 'P 4/m m m'
_space_group_IT_number 123
_space_group_name_Hall '-P 4 2'
_cell_length_a 3.4800
_cell_length_b 3.4800
_cell_length_c 4.3163
_cell_angle_alpha 90.00
_cell_angle_beta 90.00
_cell_angle_gamma 90.00
loop_
_atom_site_label
_atom_site_type_symbol
_atom_site_fract_x
_atom_site_fract_y
_atom_site_fract_z
_atom_site_occupancy
Li1 Li 0.0000 0.0000 0.0000 1
P1 P 0.5000 0.5000 0.5000 1
O1 O 0.0000 0.5000 0.5000 1
F1 F 0.5000 0.5000 0.0000 1
# DFT total energy (eV/atom): -5.337
# D(E_F) (states/eV/cell): 0.704
# Magnetic moment (μB per cell): 0.00

=====

2.
# LiSbPO2F6 PBE relaxed
data_LiSbPO2F6
_chemical_formula_sum 'Li2 Sb2 P2 O4 F12'
_space_group_name_H-M_alt 'P 1'
_space_group_IT_number 1
_space_group_name_Hall 'P 1'
_cell_length_a 6.7431
_cell_length_b 7.3842
_cell_length_c 8.0634
_cell_angle_alpha 93.58
_cell_angle_beta 109.98
_cell_angle_gamma 95.88
loop_
_atom_site_label
_atom_site_type_symbol
_atom_site_fract_x
_atom_site_fract_y
_atom_site_fract_z
_atom_site_occupancy
Li1 Li 0.0000 0.0000 0.0000 1
Li2 Li 0.1290 0.5806 0.5649 1
Sb1 Sb 0.2464 0.0894 0.6735 1
Sb2 Sb 0.2556 0.4454 0.1778 1
P1 P 0.4708 0.8687 0.2336 1
P2 P 0.8589 0.5957 0.8629 1
O1 O 0.0820 0.5420 0.9548 1
O2 O 0.2696 0.9358 0.1404 1
O3 O 0.4815 0.6596 0.2247 1
O4 O 0.8064 0.7721 0.9180 1
F1 F 0.0212 0.0704 0.7796 1
F2 F 0.0285 0.2463 0.1266 1
F3 F 0.0530 0.0081 0.4358 1
F4 F 0.1199 0.5798 0.3140 1
F5 F 0.1506 0.3450 0.6191 1
F6 F 0.2329 0.8048 0.6947 1
F7 F 0.3920 0.3214 0.0426 1
F8 F 0.4231 0.3532 0.3880 1
F9 F 0.5622 0.9358 0.4357 1
F10 F 0.6555 0.9464 0.1750 1
F11 F 0.6946 0.4318 0.8637 1
F12 F 0.8340 0.5745 0.6617 1
# DFT total energy (eV/atom): -5.371
# D(E_F) (states/eV/cell): 0.000
# Magnetic moment (μB per cell): 0.00